# 1
# TmMnCu2 | Alexandria | GGA-PBE | optimized geometry
data_TmMnCu2
_cell_length_a 4.2813
_cell_length_b 4.2813
_cell_length_c 13.0867
_cell_angle_alpha 90.00
_cell_angle_beta 90.00
_cell_angle_gamma 120.00
_symmetry_space_group_name_H-M 'R -3 m'
_symmetry_Int_Tables_number 166
_symmetry_space_group_name_Hall '-R 3 2"'
loop_
_atom_site_label
_atom_site_type_symbol
_atom_site_fract_x
_atom_site_fract_y
_atom_site_fract_z
_atom_site_occupancy
Tm1 Tm 0.0000 0.0000 0.0000 1
Mn1 Mn 0.0000 0.0000 0.5000 1
Cu1 Cu 0.0000 0.0000 0.2102 1
# Energy in eV per atom: -5.513
# V in Å³/cell: 208
# Formation energy from the elements in eV per atom: -0.0549
# Total magnetization in μB/cell: 11.034


# 2
# TmMnCu | Alexandria | GGA-PBE | optimized geometry
data_TmMnCu
_cell_length_a 4.021
_cell_length_b 4.021
_cell_length_c 13.581
_cell_angle_alpha 90.00
_cell_angle_beta 90.00
_cell_angle_gamma 90.00
_symmetry_space_group_name_H-M 'I 4/m m m'
_symmetry_Int_Tables_number 139
_symmetry_space_group_name_Hall '-I 4 2'
loop_
_atom_site_label
_atom_site_type_symbol
_atom_site_fract_x
_atom_site_fract_y
_atom_site_fract_z
_atom_site_occupancy
Tm1 Tm 0.000 0.000 0.166 1
Mn1 Mn 0.000 0.500 0.000 1
Cu1 Cu 0.000 0.000 0.384 1
# Energy in eV per atom: -5.940
# V in Å³/cell: 220
# Formation energy from the elements in eV per atom: -0.0280
# Total magnetization in μB/cell: 12.075


# 3
# TmMnZnCu | Alexandria | GGA-PBE | optimized geometry
data_TmMnZnCu
_cell_length_a 6.519
_cell_length_b 6.519
_cell_length_c 6.519
_cell_angle_alpha 90.00
_cell_angle_beta 90.00
_cell_angle_gamma 90.00
_symmetry_space_group_name_H-M 'F -4 3 m'
_symmetry_Int_Tables_number 216
_symmetry_space_group_name_Hall 'F -4 2 3'
loop_
_atom_site_label
_atom_site_type_symbol
_atom_site_fract_x
_atom_site_fract_y
_atom_site_fract_z
_atom_site_occupancy
Tm1 Tm 0.000 0.000 0.000 1
Mn1 Mn 0.000 0.000 0.500 1
Zn1 Zn 0.250 0.250 0.250 1
Cu1 Cu 0.250 0.250 0.750 1
# Energy in eV per atom: -4.806
# V in Å³/cell: 277
# Formation energy from the elements in eV per atom: -0.0532
# Total magnetization in μB/cell: 16.062